Here is crystalline K2TaPd at its relaxed geometry from Alexandria via LeMat-Bulk. Energies are from PBE.

Lattice parameters (Å, degrees): 5.5858 5.5858 5.5858 60.00 60.00 60.00
Last column: nearest neighbours and their distance in Å.
Sites, in units of the cell vectors:
Pd 0.0000 0.0000 0.0000  8 K 3.42
Ta 0.5000 0.5000 0.5000  8 K 3.42
K 0.2500 0.2500 0.2500  4 Ta 3.42, 4 Pd 3.42
K 0.7500 0.7500 0.7500  4 Ta 3.42, 4 Pd 3.42

Calculated values
- energy relative to the elements (eV/atom) = 1.58
- DOS at the Fermi energy (states/eV/atom) = 1.092
- uncorrected energy (eV/atom) = -3.225